First-principles (PBE) data for crystalline ZrAg2Mo at its relaxed geometry, as listed in the Alexandria database.

Unit cell a=5.310 b=5.310 c=2.827 alpha=90.00 beta=90.00 gamma=115.50
Sites, in units of the cell vectors:
Zr (0.000, 0.000, 0.000)
Ag (0.000, 0.500, 0.500)
Ag (0.500, 0.000, 0.500)
Mo (0.500, 0.500, 0.000)

The value obtained for the energy above the lowest structure with this stoichiometry is 120 meV/atom. As for the symmetry: Cmmm, No. 65. For the mass density, the calculation gives 9.3 g/cm3. Its formation energy is 0.295 eV per atom.